Zr3TlNi | the Alexandria database | PBEsol | optimized geometry; electronic total energy = -5.57 eV/atom
1.0
-0.766 -0.209 5.159
3.448 -3.903 0.354
3.843 3.459 0.711
Ni Tl Zr
1 1 3
direct
0.500 0.500 0.500
0.000 0.000 0.000
0.000 0.500 0.000
0.000 0.000 0.500
0.500 0.000 0.000



HgRhC2 | the Alexandria database | PBEsol | optimized geometry; electronic total energy = -5.72 eV/atom
1.0
-4.259 -1.884 -1.891
4.239 -3.752 0.870
-0.475 -2.971 4.027
C Rh Hg
4 2 2
direct
0.192 0.750 0.875
0.558 0.750 0.375
0.375 0.250 0.192
0.875 0.250 0.558
0.250 0.500 0.250
0.500 0.000 0.500
0.750 0.500 0.750
0.000 0.000 0.000



Ba3BPO7 | the Alexandria database | PBEsol | optimized geometry; formation energy from raw total energies = -2.83 eV per atom
1.0
5.509 0.000 0.000
-2.755 4.771 0.000
0.000 0.000 14.664
Ba B P O
6 2 2 14
direct
0.000 0.000 0.781
0.333 0.667 0.118
0.000 0.000 0.281
0.667 0.333 0.618
0.667 0.333 0.902
0.333 0.667 0.402
0.333 0.667 0.759
0.667 0.333 0.259
0.000 0.000 0.503
0.000 0.000 0.003
0.959 0.480 0.258
0.000 0.000 0.109
0.041 0.520 0.758
0.305 0.152 0.466
0.152 0.848 0.966
0.152 0.305 0.966
0.848 0.695 0.466
0.520 0.041 0.258
0.480 0.959 0.758
0.848 0.152 0.466
0.520 0.480 0.258
0.000 0.000 0.609
0.695 0.848 0.966
0.480 0.520 0.758



Mn2IrRh | the Alexandria database | PBEsol | optimized geometry; electronic total energy = -9.28 eV/atom
1.0
-1.872 1.218 1.952
-0.402 -2.651 1.268
4.433 1.048 3.598
Ir Mn Rh
1 2 1
direct
0.500 0.500 0.776
0.000 0.000 0.033
0.500 0.500 0.216
0.000 0.000 0.474



Repeat the first record exactly.
Zr3TlNi | the Alexandria database | PBEsol | optimized geometry; electronic total energy = -5.57 eV/atom
1.0
-0.766 -0.209 5.159
3.448 -3.903 0.354
3.843 3.459 0.711
Ni Tl Zr
1 1 3
direct
0.500 0.500 0.500
0.000 0.000 0.000
0.000 0.500 0.000
0.000 0.000 0.500
0.500 0.000 0.000